A plane-wave DFT calculation with PBE was carried out for a relaxed ZnInCu2 crystal.

The space group is I-42d, No. 122. Its calculated total energy is -22.2 eV/cell. The volume is 136.6 Å³ per cell.

Cell lengths 5.7270, 5.7270, 5.7270 Å; angles 102.36, 102.36, 124.87 degrees
Positions (direct):
Zn (0.0000, 0.0000, 0.0000)
Zn (0.7500, 0.2500, 0.5000)
In (0.2500, 0.7500, 0.5000)
In (0.5000, 0.5000, 0.0000)
Cu (0.0985, 0.6250, 0.9735)
Cu (0.3750, 0.3485, 0.4735)
Cu (0.6515, 0.1250, 0.0265)
Cu (0.8750, 0.9015, 0.5265)